# LiCa3Pt3 (GGA-PBE, relaxed)
# - E_tot: -31.7 eV/f.u.
# - Density of states at the Fermi level: 0.31 states/eV/atom
# - Crystal system: monoclinic
data_LiCa3Pt3
_chemical_formula_sum 'Li4 Ca12 Pt12'
_cell_length_a 10.846
_cell_length_b 4.160
_cell_length_c 14.510
_cell_angle_alpha 90.00
_cell_angle_beta 110.22
_cell_angle_gamma 90.00
_symmetry_space_group_name_H-M 'C 1 2/m 1'
_symmetry_Int_Tables_number 12
_symmetry_space_group_name_Hall '-C 2y'
loop_
_atom_site_label
_atom_site_fract_x
_atom_site_fract_y
_atom_site_fract_z
_atom_site_occupancy
Li1 0.231 0.000 0.411 1
Ca1 0.026 0.500 0.382 1
Ca2 0.107 0.500 0.924 1
Ca3 0.243 0.500 0.228 1
Pt1 0.031 0.000 0.237 1
Pt2 0.114 0.000 0.079 1
Pt3 0.129 0.000 0.554 1


# LiCa4Pt (GGA-PBE, relaxed)
# - E_tot: -18.1 eV/f.u.
# - Density of states at the Fermi level: 0.75 states/eV/atom
# - Crystal system: monoclinic
data_LiCa4Pt
_chemical_formula_sum 'Li4 Ca16 Pt4'
_cell_length_a 9.238
_cell_length_b 13.434
_cell_length_c 6.588
_cell_angle_alpha 90.00
_cell_angle_beta 109.45
_cell_angle_gamma 90.00
_symmetry_space_group_name_H-M 'C 1 2/c 1'
_symmetry_Int_Tables_number 15
_symmetry_space_group_name_Hall '-C 2yc'
loop_
_atom_site_label
_atom_site_fract_x
_atom_site_fract_y
_atom_site_fract_z
_atom_site_occupancy
Li1 0.000 0.124 0.250 1
Ca1 0.103 0.331 0.552 1
Ca2 0.226 0.079 0.877 1
Pt1 0.000 0.500 0.250 1


# LiCaPt3 (GGA-PBE, relaxed)
# - E_tot: -17.6 eV/f.u.
# - Density of states at the Fermi level: 0.52 states/eV/atom
# - Crystal system: cubic
data_LiCaPt3
_chemical_formula_sum 'Li1 Ca1 Pt3'
_cell_length_a 5.039
_cell_length_b 5.039
_cell_length_c 5.039
_cell_angle_alpha 90.00
_cell_angle_beta 90.00
_cell_angle_gamma 90.00
_symmetry_space_group_name_H-M 'P m -3 m'
_symmetry_Int_Tables_number 221
_symmetry_space_group_name_Hall '-P 4 2 3'
loop_
_atom_site_label
_atom_site_fract_x
_atom_site_fract_y
_atom_site_fract_z
_atom_site_occupancy
Li1 0.000 0.000 0.000 1
Ca1 0.500 0.500 0.500 1
Pt1 0.000 0.500 0.500 1


# LiCaPt (GGA-PBE, relaxed)
# - E_tot: -11.5 eV/f.u.
# - Density of states at the Fermi level: 0.87 states/eV/atom
# - Crystal system: cubic
data_LiCaPt
_chemical_formula_sum 'Li4 Ca4 Pt4'
_cell_length_a 6.594
_cell_length_b 6.594
_cell_length_c 6.594
_cell_angle_alpha 90.00
_cell_angle_beta 90.00
_cell_angle_gamma 90.00
_symmetry_space_group_name_H-M 'F -4 3 m'
_symmetry_Int_Tables_number 216
_symmetry_space_group_name_Hall 'F -4 2 3'
loop_
_atom_site_label
_atom_site_fract_x
_atom_site_fract_y
_atom_site_fract_z
_atom_site_occupancy
Li1 0.000 0.000 0.000 1
Ca1 0.000 0.000 0.500 1
Pt1 0.250 0.250 0.750 1


Question: Which of these has the lowest density of states at the Fermi level?
Answer: LiCa3Pt3


Question: Number 1 is which compound?
Answer: LiCa3Pt3